Record 1
Here is a relaxed Ru crystal from Alexandria. Energies are from PBE.

abc: 4.560 4.557 2.747
angles: 72.53 72.41 35.06
Atoms (fractional coordinates):
1 Ru 0.149 0.149 0.851
2 Ru 0.851 0.851 0.149

## Properties
Crystal system: orthorhombic
ΔE to the lowest computed polymorph in eV/f.u.: 0.422
DFT formation energy in kJ/mol of formula units: 41
Theoretical density in g cm⁻³: 10.79
Calculated volume in Å³ per cell: 31.1

---

Record 2
Here is a relaxed LiHfSb crystal from Alexandria. Energies are from PBE.

abc: 3.353 3.353 14.036
angles: 90.00 90.00 120.00
Atoms (fractional coordinates):
1 Li 0.333 0.667 0.096
2 Li 0.667 0.333 0.904
3 Hf 0.333 0.667 0.414
4 Hf 0.667 0.333 0.586
5 Sb 0.333 0.667 0.753
6 Sb 0.667 0.333 0.247

## Properties
Crystal system: trigonal
ΔE to the lowest computed polymorph in eV/f.u.: 0.000
Theoretical density in g cm⁻³: 7.47
Calculated volume in Å³ per cell: 136.6

---

Record 3
Here is a relaxed SrBeI2N crystal from Alexandria. Energies are from PBE.

abc: 5.814 5.814 3.547
angles: 90.00 90.00 90.00
Atoms (fractional coordinates):
1 Sr 0.000 0.000 0.000
2 Be 0.500 0.500 0.500
3 I 0.000 0.500 0.500
4 I 0.500 0.000 0.500
5 N 0.500 0.500 0.000

## Properties
Crystal system: tetragonal
ΔE to the lowest computed polymorph in eV/f.u.: 0.000
Theoretical density in g cm⁻³: 5.05
Calculated volume in Å³ per cell: 119.9

---

Record 4
Here is a relaxed DyGa3TcNi crystal from Alexandria. Energies are from PBE.

abc: 6.454 6.454 5.810
angles: 90.00 90.00 108.25
Atoms (fractional coordinates):
1 Dy 0.212 0.788 0.750
2 Dy 0.788 0.212 0.250
3 Ga 0.252 0.252 0.000
4 Ga 0.252 0.252 0.500
5 Ga 0.302 0.698 0.250
6 Ga 0.698 0.302 0.750
7 Ga 0.748 0.748 0.000
8 Ga 0.748 0.748 0.500
9 Tc 0.074 0.926 0.250
10 Tc 0.926 0.074 0.750
11 Ni 0.474 0.526 0.750
12 Ni 0.526 0.474 0.250

## Properties
Crystal system: orthorhombic
DFT formation energy in kJ/mol of formula units: -134
Theoretical density in g cm⁻³: 7.63
Calculated volume in Å³ per cell: 229.9

---

Record 5
Here is a relaxed FeTcSb2 crystal from Alexandria. Energies are from PBE.

abc: 8.233 8.233 8.233
angles: 22.64 22.64 22.64
Atoms (fractional coordinates):
1 Fe 0.000 0.000 0.000
2 Tc 0.500 0.500 0.500
3 Sb 0.251 0.251 0.251
4 Sb 0.749 0.749 0.749

## Properties
Crystal system: trigonal
ΔE to the lowest computed polymorph in eV/f.u.: 0.653
Theoretical density in g cm⁻³: 9.10
Calculated volume in Å³ per cell: 72.5

---

Record 6
Here is a relaxed LiInPt2 crystal from Alexandria. Energies are from PBE.

abc: 3.362 3.362 5.758
angles: 90.00 90.00 90.00
Atoms (fractional coordinates):
1 Li 0.000 0.000 0.000
2 In 0.500 0.500 0.715
3 Pt 0.000 0.000 0.472
4 Pt 0.500 0.500 0.188

## Properties
Crystal system: tetragonal
DFT formation energy in kJ/mol of formula units: -142
Theoretical density in g cm⁻³: 13.06
Calculated volume in Å³ per cell: 65.1